Crystalline TbNdRu at its relaxed geometry. Source: Alexandria, functional PBE.

Cell: 7.533 4.526 13.331 Å, 90.00 90.18 90.00°
Space group P2_1/m (No. 11)
Inequivalent atoms, fractional coordinates:
Tb  0.020  0.250  0.090 x2
Tb  0.148  0.250  0.455 x2
Tb  0.365  0.750  0.787 x2
Nd  0.019  0.250  0.714 x2
Nd  0.366  0.750  0.084 x2
Nd  0.474  0.750  0.384 x2
Ru  0.234  0.250  0.906 x2
Ru  0.240  0.750  0.576 x2
Ru  0.269  0.250  0.247 x2

**Energy relative to the lowest polymorph listed for this composition**: 0 meV per atom
**Formation enthalpy at 0 K**: -0.243 eV per atom



Crystalline Cr2CdMoRh at its relaxed geometry. Source: Alexandria, functional PBE.

Cell: 4.647 4.647 4.741 Å, 90.00 90.00 90.00°
Space group P4/mmm (No. 123)
Inequivalent atoms, fractional coordinates:
Cr  0.000  0.500  0.000 x2
Cd  0.000  0.000  0.500 x1
Mo  0.500  0.500  0.000 x1
Rh  0.500  0.500  0.500 x1

**Formation enthalpy at 0 K**: 1.149 eV per atom



Crystalline Ag6Sn2Au at its relaxed geometry. Source: Alexandria, functional PBE.

Cell: 10.866 10.285 7.569 Å, 90.00 123.22 90.00°
Space group C2/c (No. 15)
Inequivalent atoms, fractional coordinates:
Ag  0.035  0.134  0.463 x8
Ag  0.095  0.406  0.178 x8
Ag  0.229  0.342  0.629 x8
Sn  0.191  0.095  0.938 x8
Au  0.000  0.329  0.750 x4

**Energy relative to the lowest polymorph listed for this composition**: 0 meV per atom
**Formation enthalpy at 0 K**: 0.016 eV per atom



Crystalline Ba2HgRhPb6 at its relaxed geometry. Source: Alexandria, functional PBE.

Cell: 7.4909 7.4909 41.6714 Å, 90.00 90.00 120.00°
Space group R-3m (No. 166, hexagonal axes)
Inequivalent atoms, fractional coordinates:
Ba  0.0000  0.0000  0.1104 x6
Ba  0.0000  0.0000  0.2827 x6
Hg  0.0000  0.0000  0.4260 x6
Rh  0.0000  0.0000  0.0000 x3
Rh  0.0000  0.0000  0.5000 x3
Pb  0.0360  0.5180  0.3002 x18
Pb  0.0470  0.5235  0.8643 x18

**Formation enthalpy at 0 K**: -0.195 eV per atom



| no. | DFT total energy (eV/atom) |
| --- | --- |
| 1 | -6.468 |
| 2 | -6.520 |
| 3 | -3.139 |
| 4 | -3.570 |